[1]
! CdSb2Ir, relaxed, DFT PBE-GGA; values from VASP
&SYSTEM
  ibrav = 0, nat = 8, ntyp = 3
/
ATOMIC_SPECIES
Cd 112.41 Cd.upf
Sb 121.76 Sb.upf
Ir 192.22 Ir.upf
ATOMIC_POSITIONS crystal
Cd 0.000 0.000 0.000
Cd 0.500 0.500 0.000
Sb 0.229 0.000 0.691
Sb 0.271 0.500 0.309
Sb 0.729 0.500 0.691
Sb 0.771 0.000 0.309
Ir 0.000 0.500 0.500
Ir 0.500 0.000 0.500
CELL_PARAMETERS angstrom
6.875 0.000 0.000
0.000 3.972 0.000
-2.246 0.000 7.243
! Formation energy without anion corrections in kJ/mol of formula units: -24
! E in eV/atom: -4.5667
! Space group: C2/m
! DOS at the Fermi energy in states/eV per cell: 2.28



[2]
! Dy8BiC4, relaxed, DFT PBE-GGA; values from VASP
&SYSTEM
  ibrav = 0, nat = 13, ntyp = 3
/
ATOMIC_SPECIES
Dy 162.50 Dy.upf
Bi 208.98 Bi.upf
C 12.01 C.upf
ATOMIC_POSITIONS crystal
Dy 0.399 0.399 0.399
Dy 0.399 0.399 0.802
Dy 0.399 0.802 0.399
Dy 0.421 0.860 0.860
Dy 0.802 0.399 0.399
Dy 0.860 0.421 0.860
Dy 0.860 0.860 0.421
Dy 0.860 0.860 0.860
Bi 0.250 0.250 0.250
C 0.114 0.629 0.629
C 0.629 0.114 0.629
C 0.629 0.629 0.114
C 0.629 0.629 0.629
CELL_PARAMETERS angstrom
0.000 5.444 5.444
5.444 0.000 5.444
5.444 5.444 0.000
! ΔH_f (0 K) in meV per atom: -174
! E in eV/atom: -6.1431
! Space group: F-43m
! DOS at the Fermi energy in states/eV per cell: 5.20